## Dy2ZrNpN4 (GGA-PBE)

Data for Dy2ZrNpN4 after structural relaxation.

For the calculated density, the calculation gives 10.56 g/cm³. The calculated total energy is -9.57 eV/atom. The magnetic moment comes out at 3.1 μB per cell. The crystal system is monoclinic. Its uncorrected formation energy is -12.53 eV per formula unit.

The space group is P2/m (No. 10) and the conventional cell measures 5.8845, 3.4021 and 5.8927 Å, with angles of 90.00, 109.05 and 90.00 degrees. The asymmetric unit holds Dy at (0.0000, 0.0000, 0.0000), Dy at (0.5000, 0.5000, 0.0000), Zr at (0.0000, 0.5000, 0.5000), Np at (0.5000, 0.0000, 0.5000), N at (0.2439, 0.0000, 0.7323) and N at (0.2502, 0.5000, 0.2639).